1.
Density functional theory data (PBE-GGA) for CaZrTc2 after structural relaxation.

POSCAR file:
```
CaZrTc2
1.0
4.798 0.000 0.000
0.000 4.798 0.000
0.000 0.000 3.266
Ca Zr Tc
1 1 2
Direct
0.000 0.000 0.000
0.500 0.500 0.000
0.000 0.500 0.500
0.500 0.000 0.500
```

Summary:
crystal system	tetragonal
energy above the lowest structure with this stoichiometry	1.05	eV/f.u.
SG	P4/mmm, No. 123
magnetization	0.00	μB/atom
D(E_F)	6.91	states/eV/cell
energy of formation from the pure elements	0.425	eV/atom



2.
Density functional theory data (PBE-GGA) for CaZrTc2 after structural relaxation.

POSCAR file:
```
CaZrTc2
1.0
3.107 0.000 0.000
0.000 3.107 0.000
0.000 0.000 8.699
Ca Zr Tc
1 1 2
Direct
0.000 0.000 0.000
0.500 0.500 0.636
0.000 0.000 0.415
0.500 0.500 0.261
```

Summary:
crystal system	tetragonal
energy above the lowest structure with this stoichiometry	0.00	eV/f.u.
SG	P4mm, No. 99
magnetization	0.00	μB/atom
D(E_F)	4.90	states/eV/cell
energy of formation from the pure elements	0.162	eV/atom



3.
Density functional theory data (PBE-GGA) for CaZr2Tc2 after structural relaxation.

POSCAR file:
```
CaZr2Tc2
1.0
7.930 0.000 0.000
0.000 7.930 0.000
0.000 0.000 3.284
Ca Zr Tc
2 4 4
Direct
0.000 0.000 0.000
0.500 0.500 0.000
0.145 0.355 0.500
0.355 0.855 0.500
0.645 0.145 0.500
0.855 0.645 0.500
0.144 0.644 0.000
0.356 0.144 0.000
0.644 0.856 0.000
0.856 0.356 0.000
```

Summary:
crystal system	tetragonal
SG	P4/mbm, No. 127
magnetization	0.00	μB/atom
D(E_F)	9.66	states/eV/cell
energy of formation from the pure elements	0.045	eV/atom



4.
Density functional theory data (PBE-GGA) for CaZrTc2 after structural relaxation.

POSCAR file:
```
CaZrTc2
1.0
3.333 0.000 0.000
0.000 4.490 0.000
0.000 0.000 4.953
Ca Zr Tc
1 1 2
Direct
0.000 0.000 0.000
0.500 0.000 0.500
0.000 0.500 0.500
0.500 0.500 0.000
```

Summary:
crystal system	orthorhombic
energy above the lowest structure with this stoichiometry	1.34	eV/f.u.
SG	Pmmm, No. 47
magnetization	0.00	μB/atom
D(E_F)	3.63	states/eV/cell
energy of formation from the pure elements	0.497	eV/atom



5.
Density functional theory data (PBE-GGA) for CaZrTc2 after structural relaxation.

POSCAR file:
```
CaZrTc2
1.0
3.949 0.000 0.000
0.000 3.949 0.000
0.000 0.000 9.702
Ca Zr Tc
2 2 4
Direct
0.000 0.000 0.000
0.500 0.500 0.500
0.000 0.500 0.250
0.500 0.000 0.750
0.000 0.000 0.500
0.000 0.500 0.750
0.500 0.000 0.250
0.500 0.500 0.000
```

Summary:
crystal system	tetragonal
energy above the lowest structure with this stoichiometry	1.51	eV/f.u.
SG	I-4m2, No. 119
magnetization	0.00	μB/atom
D(E_F)	11.22	states/eV/cell
energy of formation from the pure elements	0.540	eV/atom



6.
Density functional theory data (PBE-GGA) for CaZrTc2 after structural relaxation.

POSCAR file:
```
CaZrTc2
1.0
8.604 0.000 0.000
0.000 3.153 0.000
-0.815 0.000 6.112
Ca Zr Tc
2 2 4
Direct
0.000 0.000 0.000
0.500 0.500 0.000
0.000 0.500 0.500
0.500 0.000 0.500
0.239 0.000 0.688
0.261 0.500 0.312
0.739 0.500 0.688
0.761 0.000 0.312
```

Summary:
crystal system	monoclinic
energy above the lowest structure with this stoichiometry	1.16	eV/f.u.
SG	C2/m, No. 12
magnetization	0.00	μB/atom
D(E_F)	10.79	states/eV/cell
energy of formation from the pure elements	0.453	eV/atom



7.
Density functional theory data (PBE-GGA) for CaZrTc2 after structural relaxation.

POSCAR file:
```
CaZrTc2
1.0
6.649 0.000 0.000
0.000 6.649 0.000
0.000 0.000 6.649
Ca Zr Tc
4 4 8
Direct
0.000 0.000 0.000
0.000 0.500 0.500
0.500 0.000 0.500
0.500 0.500 0.000
0.250 0.250 0.250
0.250 0.750 0.750
0.750 0.250 0.750
0.750 0.750 0.250
0.000 0.000 0.500
0.000 0.500 0.000
0.250 0.250 0.750
0.250 0.750 0.250
0.500 0.000 0.000
0.500 0.500 0.500
0.750 0.250 0.250
0.750 0.750 0.750
```

Summary:
crystal system	cubic
energy above the lowest structure with this stoichiometry	1.06	eV/f.u.
SG	F-43m, No. 216
magnetization	0.00	μB/atom
D(E_F)	18.92	states/eV/cell
energy of formation from the pure elements	0.428	eV/atom



8.
Density functional theory data (PBE-GGA) for CaZrTc2 after structural relaxation.

POSCAR file:
```
CaZrTc2
1.0
3.478 0.000 0.000
0.000 3.478 0.000
0.000 0.000 6.872
Ca Zr Tc
1 1 2
Direct
0.000 0.000 0.000
0.000 0.000 0.500
0.500 0.500 0.311
0.500 0.500 0.689
```

Summary:
crystal system	tetragonal
energy above the lowest structure with this stoichiometry	0.37	eV/f.u.
SG	P4/mmm, No. 123
magnetization	0.00	μB/atom
D(E_F)	3.41	states/eV/cell
energy of formation from the pure elements	0.256	eV/atom



9.
Density functional theory data (PBE-GGA) for Ca3ZrTc after structural relaxation.

POSCAR file:
```
Ca3ZrTc
1.0
5.360 0.000 0.000
0.000 5.360 0.000
0.000 0.000 5.360
Ca Zr Tc
3 1 1
Direct
0.000 0.000 0.500
0.000 0.500 0.000
0.500 0.000 0.000
0.500 0.500 0.500
0.000 0.000 0.000
```

Summary:
crystal system	cubic
SG	Pm-3m, No. 221
magnetization	0.00	μB/atom
D(E_F)	8.72	states/eV/cell
energy of formation from the pure elements	0.979	eV/atom



10.
Density functional theory data (PBE-GGA) for CaZrTc4 after structural relaxation.

POSCAR file:
```
CaZrTc4
1.0
0.000 3.771 3.771
3.771 0.000 3.771
3.771 3.771 0.000
Ca Zr Tc
1 1 4
Direct
0.000 0.000 0.000
0.250 0.250 0.250
0.125 0.625 0.625
0.625 0.125 0.625
0.625 0.625 0.125
0.625 0.625 0.625
```

Summary:
crystal system	cubic
SG	F-43m, No. 216
magnetization	0.00	μB/atom
D(E_F)	5.90	states/eV/cell
energy of formation from the pure elements	-0.001	eV/atom



11.
Density functional theory data (PBE-GGA) for CaZrTc2 after structural relaxation.

POSCAR file:
```
CaZrTc2
1.0
2.969 0.000 0.000
-1.484 2.571 0.000
0.000 0.000 30.574
Ca Zr Tc
3 3 6
Direct
0.000 0.000 0.000
0.333 0.667 0.667
0.667 0.333 0.333
0.000 0.000 0.232
0.333 0.667 0.898
0.667 0.333 0.565
0.000 0.000 0.482
0.000 0.000 0.751
0.333 0.667 0.148
0.333 0.667 0.417
0.667 0.333 0.084
0.667 0.333 0.815
```

Summary:
crystal system	trigonal
energy above the lowest structure with this stoichiometry	1.31	eV/f.u.
SG	R3m, No. 160
magnetization	0.00	μB/atom
D(E_F)	16.42	states/eV/cell
energy of formation from the pure elements	0.489	eV/atom



12.
Density functional theory data (PBE-GGA) for CaZrTc2 after structural relaxation.

POSCAR file:
```
CaZrTc2
1.0
3.203 0.000 0.000
-1.602 2.774 0.000
0.000 0.000 26.475
Ca Zr Tc
3 3 6
Direct
0.000 0.000 0.000
0.333 0.667 0.667
0.667 0.333 0.333
0.000 0.000 0.500
0.333 0.667 0.167
0.667 0.333 0.833
0.000 0.000 0.242
0.000 0.000 0.758
0.333 0.667 0.424
0.333 0.667 0.909
0.667 0.333 0.091
0.667 0.333 0.576
```

Summary:
crystal system	trigonal
energy above the lowest structure with this stoichiometry	1.03	eV/f.u.
SG	R-3m, No. 166
magnetization	0.00	μB/atom
D(E_F)	14.73	states/eV/cell
energy of formation from the pure elements	0.420	eV/atom



13.
Density functional theory data (PBE-GGA) for CaZrTc2 after structural relaxation.

POSCAR file:
```
CaZrTc2
1.0
3.252 0.000 0.000
0.000 4.844 0.000
0.000 0.000 9.840
Ca Zr Tc
2 2 4
Direct
0.000 0.000 0.000
0.500 0.500 0.500
0.000 0.500 0.219
0.500 0.000 0.719
0.000 0.000 0.463
0.000 0.500 0.766
0.500 0.000 0.266
0.500 0.500 0.963
```

Summary:
crystal system	orthorhombic
energy above the lowest structure with this stoichiometry	0.26	eV/f.u.
SG	Imm2, No. 44
magnetization	0.00	μB/atom
D(E_F)	9.08	states/eV/cell
energy of formation from the pure elements	0.227	eV/atom



14.
Density functional theory data (PBE-GGA) for CaZrTc2 after structural relaxation.

POSCAR file:
```
CaZrTc2
1.0
3.361 0.000 0.000
0.000 4.921 0.000
0.000 0.000 9.165
Ca Zr Tc
2 2 4
Direct
0.000 0.000 0.000
0.500 0.500 0.000
0.000 0.000 0.500
0.500 0.500 0.500
0.000 0.500 0.268
0.000 0.500 0.732
0.500 0.000 0.268
0.500 0.000 0.732
```

Summary:
crystal system	orthorhombic
energy above the lowest structure with this stoichiometry	0.60	eV/f.u.
SG	Cmmm, No. 65
magnetization	0.00	μB/atom
D(E_F)	5.93	states/eV/cell
energy of formation from the pure elements	0.311	eV/atom



15.
Density functional theory data (PBE-GGA) for CaZrTc2 after structural relaxation.

POSCAR file:
```
CaZrTc2
1.0
7.465 0.000 0.000
0.000 7.465 0.000
0.000 0.000 5.796
Ca Zr Tc
4 4 8
Direct
0.000 0.000 0.000
0.000 0.500 0.250
0.500 0.000 0.750
0.500 0.500 0.500
0.000 0.000 0.500
0.000 0.500 0.750
0.500 0.000 0.250
0.500 0.500 0.000
0.229 0.250 0.625
0.250 0.729 0.875
0.250 0.771 0.375
0.271 0.250 0.125
0.729 0.750 0.125
0.750 0.229 0.375
0.750 0.271 0.875
0.771 0.750 0.625
```

Summary:
crystal system	tetragonal
energy above the lowest structure with this stoichiometry	2.68	eV/f.u.
SG	I-42d, No. 122
magnetization	0.00	μB/atom
D(E_F)	16.57	states/eV/cell
energy of formation from the pure elements	0.831	eV/atom



16.
Density functional theory data (PBE-GGA) for CaTe after structural relaxation.

POSCAR file:
```
CaTe
1.0
5.416 0.000 0.000
-2.708 4.690 0.000
0.000 0.000 6.337
Ca Te
2 2
Direct
0.333 0.667 0.250
0.667 0.333 0.750
0.333 0.667 0.750
0.667 0.333 0.250
```

Summary:
crystal system	hexagonal
SG	P6_3/mmc, No. 194
magnetization	0.00	μB/atom
formation energy from raw total energies	-1535	meV per atom
D(E_F)	0.00	states/eV/cell



17.
Density functional theory data (PBE-GGA) for CaTe after structural relaxation.

POSCAR file:
```
CaTe
1.0
4.378 0.000 0.000
-2.189 3.791 0.000
0.000 0.000 4.033
Ca Te
1 1
Direct
0.000 0.000 0.000
0.333 0.667 0.500
```

Summary:
crystal system	hexagonal
SG	P-6m2, No. 187
magnetization	0.00	μB/atom
formation energy from raw total energies	-1498	meV per atom
D(E_F)	0.00	states/eV/cell



18.
Density functional theory data (PBE-GGA) for CaTe3 after structural relaxation.

POSCAR file:
```
CaTe3
1.0
4.291 0.000 0.000
-2.146 3.717 0.000
0.000 0.000 8.276
Ca Te
1 3
Direct
0.000 0.000 0.000
0.000 0.000 0.500
0.667 0.333 0.239
0.667 0.333 0.761
```

Summary:
crystal system	hexagonal
SG	P-6m2, No. 187
magnetization	0.00	μB/atom
formation energy from raw total energies	-392	meV per atom
D(E_F)	4.39	states/eV/cell



19.
Density functional theory data (PBE-GGA) for Ca5Te after structural relaxation.

POSCAR file:
```
Ca5Te
1.0
4.743 0.000 0.000
0.000 16.922 0.000
0.000 0.000 5.397
Ca Te
10 2
Direct
0.000 0.000 0.000
0.000 0.155 0.500
0.000 0.330 0.000
0.000 0.670 0.000
0.000 0.845 0.500
0.500 0.170 0.000
0.500 0.345 0.500
0.500 0.500 0.000
0.500 0.655 0.500
0.500 0.830 0.000
0.000 0.500 0.500
0.500 0.000 0.500
```

Summary:
crystal system	orthorhombic
SG	Cmmm, No. 65
magnetization	0.00	μB/atom
formation energy from raw total energies	-359	meV per atom
D(E_F)	9.01	states/eV/cell



20.
Density functional theory data (PBE-GGA) for CaTe after structural relaxation.

POSCAR file:
```
CaTe
1.0
7.880 0.000 0.000
0.000 7.880 0.000
0.000 0.000 7.880
Ca Te
8 8
Direct
0.125 0.125 0.125
0.125 0.625 0.625
0.375 0.375 0.875
0.375 0.875 0.375
0.625 0.125 0.625
0.625 0.625 0.125
0.875 0.375 0.375
0.875 0.875 0.875
0.125 0.125 0.625
0.125 0.625 0.125
0.375 0.375 0.375
0.375 0.875 0.875
0.625 0.125 0.125
0.625 0.625 0.625
0.875 0.375 0.875
0.875 0.875 0.375
```

Summary:
crystal system	cubic
SG	Fd-3m, No. 227
magnetization	0.00	μB/atom
formation energy from raw total energies	-661	meV per atom
D(E_F)	0.78	states/eV/cell